Material: Cs3HgCl6
Method: DFT, PBE
State: optimized geometry

Output
- Formation energy from raw total energies: -1.31 eV/atom
- ΔE to the lowest computed polymorph: 0.037 eV per atom
- SG: P2_1/c

```
Cs3HgCl6
1.0
8.009 0.000 -0.029
0.000 8.467 0.000
-0.155 0.000 11.502
Cs Hg Cl
6 2 12
Cartesian
4.077 7.876 8.569 Cs
4.005 4.234 -0.015 Cs
3.777 0.592 2.904 Cs
0.150 4.825 2.833 Cs
-0.078 0.000 5.751 Cs
7.704 3.642 8.640 Cs
3.927 4.234 5.736 Hg
0.000 0.000 0.000 Hg
5.730 1.433 10.942 Cl
5.248 1.966 6.389 Cl
4.743 3.974 3.268 Cl
3.111 4.493 8.205 Cl
2.607 6.501 5.084 Cl
2.124 7.034 0.531 Cl
1.803 2.800 5.206 Cl
1.320 2.267 0.652 Cl
0.661 0.259 9.033 Cl
7.194 8.208 2.439 Cl
6.534 6.200 10.820 Cl
6.051 5.667 6.267 Cl
```